Record 1
The following is a PBE calculation of a geometry-optimized Mg2TlCd structure, from the Alexandria database.

```
4
Lattice="-7.4236 5.4996 2.2359 -8.9379 3.2303 0.0832 -8.5218 2.4423 3.4353" Properties=species:S:1:pos:R:3 pbc="T T T"
Tl -6.2208 2.7931 1.4386
Mg -0.0757 0.0340 0.0174
Mg -12.3659 5.5521 2.8597
Cd -18.6624 8.3792 4.3158
```

Values from the calculation:
Crystal system   monoclinic
Energy relative to the elements   -0.0304 eV/atom
E_tot   -1.6481 eV/atom

Record 2
The following is a PBE calculation of a geometry-optimized Ca2TaZn structure, from the Alexandria database.

```
4
Lattice="-2.5297 2.0924 -0.5543 -1.0256 -1.9115 -2.5257 -5.2196 -4.7888 5.7436" Properties=species:S:1:pos:R:3 pbc="T T T"
Zn -5.4930 -3.3182 2.5484
Ca -4.8953 -4.4912 5.3867
Ca -3.3334 -1.3369 0.1719
Ta -2.8827 -2.6447 3.1721
```

Values from the calculation:
Crystal system   tetragonal
Energy relative to the elements   0.3137 eV/atom
E_tot   -3.9688 eV/atom

Record 3
The following is a PBE calculation of a geometry-optimized MnIn2Ag structure, from the Alexandria database.

```
4
Lattice="4.4376 0.0000 0.0000 0.0000 4.4345 0.0000 0.0000 0.0000 3.9649" Properties=species:S:1:pos:R:3 pbc="T T T"
Ag 0.0000 2.2173 1.9824
In 0.0000 0.0000 0.0000
In 2.2188 2.2173 0.0000
Mn 2.2188 0.0000 1.9824
```

Values from the calculation:
Crystal system   tetragonal
Excess energy over the best structure of this formula in the dataset   5 meV per atom
Energy relative to the elements   0.1471 eV/atom
E_tot   -4.2273 eV/atom

Q: energy relative to the elements of number 3 (MnIn2Ag)?
A: 0.1471 eV/atom

Q: Which formula does entry 3 have?
A: MnIn2Ag